Density functional theory data (PBE-GGA) for a relaxed ScTlPdPt2 crystal.

Calculated values
DOS at the Fermi energy = 2.64 states/eV per cell
Calculated volume = 23.5 Å³/atom
SG = No. 123
DFT total energy = -4.879 eV per atom

Lattice parameters (Å, degrees): 4.922 4.859 4.922 90.00 90.00 90.00
Positions (direct):
Sc1 0.000 0.000 0.000
Tl1 0.500 0.500 0.500
Pd1 0.000 0.500 0.000
Pt1 0.000 0.000 0.500
Pt2 0.500 0.000 0.000

***

Density functional theory data (PBE-GGA) for a relaxed TmScPdPt crystal.

Calculated values
DOS at the Fermi energy = 3.32 states/eV per cell
Calculated volume = 19.4 Å³/atom
SG = No. 216
DFT total energy = -6.603 eV per atom

Lattice parameters (Å, degrees): 4.784 4.784 4.784 60.00 60.00 60.00
Positions (direct):
Sc1 0.000 0.000 0.000
Tm1 0.500 0.500 0.500
Pd1 0.250 0.250 0.250
Pt1 0.750 0.750 0.750

***

Density functional theory data (PBE-GGA) for a relaxed YScPdPt2 crystal.

Calculated values
DOS at the Fermi energy = 5.23 states/eV per cell
Calculated volume = 25.8 Å³/atom
SG = No. 123
DFT total energy = -5.058 eV per atom

Lattice parameters (Å, degrees): 4.974 5.212 4.974 90.00 90.00 90.00
Positions (direct):
Y1 0.000 0.000 0.000
Sc1 0.000 0.500 0.000
Pd1 0.500 0.500 0.500
Pt1 0.000 0.000 0.500
Pt2 0.500 0.000 0.000

***

Density functional theory data (PBE-GGA) for a relaxed YScPdPt crystal.

Calculated values
DOS at the Fermi energy = 3.71 states/eV per cell
Calculated volume = 20.8 Å³/atom
SG = No. 38
DFT total energy = -7.047 eV per atom

Lattice parameters (Å, degrees): 3.632 4.502 5.399 90.00 109.65 90.00
Positions (direct):
Y1 0.860 0.500 0.720
Sc1 0.136 0.000 0.272
Pd1 0.589 0.500 0.177
Pt1 0.415 0.000 0.831

***

Density functional theory data (PBE-GGA) for a relaxed Sc4ZnPdPt2 crystal.

Calculated values
DOS at the Fermi energy = 5.81 states/eV per cell
Calculated volume = 18.1 Å³/atom
SG = No. 166
DFT total energy = -6.446 eV per atom

Lattice parameters (Å, degrees): 4.678 4.678 8.116 73.25 73.25 60.00
Positions (direct):
Sc1 0.376 0.376 0.872
Sc2 0.874 0.874 0.378
Sc3 0.126 0.126 0.622
Sc4 0.624 0.624 0.128
Zn1 0.000 0.000 0.000
Pd1 0.500 0.500 0.500
Pt1 0.748 0.748 0.755
Pt2 0.252 0.252 0.245

***

Density functional theory data (PBE-GGA) for a relaxed PdPt4Se8 crystal.

Calculated values
Formation energy without anion corrections = -330 meV/atom
DOS at the Fermi energy = 3.21 states/eV per cell
Calculated volume = 23.2 Å³/atom
SG = No. 166

Lattice parameters (Å, degrees): 7.540 7.540 7.540 59.73 59.73 59.73
Positions (direct):
Pd1 0.500 0.500 0.500
Pt1 0.500 0.000 0.500
Pt2 0.000 0.500 0.500
Pt3 0.500 0.500 0.000
Pt4 0.000 0.000 0.000
Se1 0.246 0.727 0.246
Se2 0.754 0.754 0.273
Se3 0.754 0.273 0.754
Se4 0.273 0.754 0.754
Se5 0.738 0.738 0.738
Se6 0.262 0.262 0.262
Se7 0.727 0.246 0.246
Se8 0.246 0.246 0.727

***

Density functional theory data (PBE-GGA) for a relaxed Pd14PtSe crystal.

Calculated values
Formation energy without anion corrections = 11 meV/atom
DOS at the Fermi energy = 34.23 states/eV per cell
Calculated volume = 15.6 Å³/atom
SG = No. 38

Lattice parameters (Å, degrees): 5.578 5.578 9.169 90.00 90.00 118.96
Positions (direct):
Pd1 0.198 0.802 0.000
Pd2 0.699 0.301 0.000
Pd3 0.055 0.453 0.500
Pd4 0.199 0.301 0.000
Pd5 0.547 0.945 0.500
Pd6 0.699 0.801 0.000
Pd7 0.373 0.129 0.748
Pd8 0.373 0.129 0.252
Pd9 0.871 0.627 0.748
Pd10 0.871 0.627 0.252
Pd11 0.371 0.629 0.753
Pd12 0.371 0.629 0.247
Pd13 0.874 0.126 0.751
Pd14 0.874 0.126 0.249
Pt1 0.045 0.955 0.500
Se1 0.580 0.420 0.500

***

Density functional theory data (PBE-GGA) for a relaxed Pd2PtSe4 crystal.

Calculated values
Formation energy without anion corrections = -324 meV/atom
DOS at the Fermi energy = 5.75 states/eV per cell
Calculated volume = 21.6 Å³/atom
SG = No. 74

Lattice parameters (Å, degrees): 7.533 7.530 7.530 60.01 59.99 59.99
Positions (direct):
Pd1 0.124 0.126 0.626
Pd2 0.500 0.000 0.000
Pd3 0.500 0.500 0.500
Pd4 0.876 0.874 0.374
Pt1 0.000 0.500 0.000
Pt2 0.500 0.500 0.000
Se1 0.261 0.263 0.216
Se2 0.261 0.716 0.763
Se3 0.260 0.261 0.761
Se4 0.718 0.261 0.761
Se5 0.282 0.739 0.239
Se6 0.739 0.284 0.237
Se7 0.740 0.739 0.239
Se8 0.739 0.737 0.784

***

Density functional theory data (PBE-GGA) for a relaxed PdPt2Se6 crystal.

Calculated values
Formation energy without anion corrections = -350 meV/atom
DOS at the Fermi energy = 2.86 states/eV per cell
Calculated volume = 21.3 Å³/atom
Energy above the most stable polymorph in this dataset = 0 meV per atom
SG = No. 162

Lattice parameters (Å, degrees): 5.113 6.580 6.580 120.00 90.00 90.00
Positions (direct):
Pd1 0.500 0.000 0.000
Pt1 0.500 0.333 0.667
Pt2 0.500 0.667 0.333
Se1 0.247 0.664 0.000
Se2 0.247 0.336 0.336
Se3 0.247 0.000 0.664
Se4 0.753 0.336 0.000
Se5 0.753 0.664 0.664
Se6 0.753 0.000 0.336

***

Density functional theory data (PBE-GGA) for a relaxed PdPtSe crystal.

Calculated values
Formation energy without anion corrections = 26 meV/atom
DOS at the Fermi energy = 2.04 states/eV per cell
Calculated volume = 16.7 Å³/atom
SG = No. 187

Lattice parameters (Å, degrees): 2.988 4.398 4.398 120.00 90.00 90.00
Positions (direct):
Se1 0.166 0.000 0.000
Pd1 0.667 0.667 0.333
Pt1 0.167 0.333 0.667

***

Density functional theory data (PBE-GGA) for a relaxed PdPtSe4 crystal.

Calculated values
Formation energy without anion corrections = -329 meV/atom
DOS at the Fermi energy = 2.07 states/eV per cell
Calculated volume = 21.1 Å³/atom
SG = No. 10

Lattice parameters (Å, degrees): 3.794 5.051 6.603 90.64 90.00 90.00
Positions (direct):
Pd1 0.000 0.000 0.000
Pt1 0.500 0.000 0.500
Se1 0.000 0.261 0.341
Se2 0.500 0.749 0.167
Se3 0.500 0.251 0.833
Se4 0.000 0.739 0.659

***

Density functional theory data (PBE-GGA) for a relaxed PdPtSe2 crystal.

Calculated values
Formation energy without anion corrections = -28 meV/atom
DOS at the Fermi energy = 6.17 states/eV per cell
Calculated volume = 20.4 Å³/atom
SG = No. 72

Lattice parameters (Å, degrees): 5.570 5.557 6.579 114.98 115.04 90.00
Positions (direct):
Pd1 0.500 0.250 0.000
Pd2 0.500 0.750 0.000
Pt1 0.000 0.750 0.000
Pt2 0.000 0.250 0.000
Se1 0.087 0.842 0.684
Se2 0.597 0.342 0.684
Se3 0.913 0.158 0.316
Se4 0.403 0.658 0.316

***

Density functional theory data (PBE-GGA) for a relaxed PdPt3Se8 crystal.

Calculated values
Formation energy without anion corrections = -361 meV/atom
DOS at the Fermi energy = 0.80 states/eV per cell
Calculated volume = 25.0 Å³/atom
SG = No. 12

Lattice parameters (Å, degrees): 7.501 7.501 7.577 120.22 90.00 120.00
Positions (direct):
Pd1 0.000 0.000 0.000
Pt1 0.500 0.000 0.000
Pt2 0.500 0.500 0.000
Pt3 0.000 0.500 0.000
Se1 0.261 0.522 0.787
Se2 0.739 0.478 0.213
Se3 0.262 0.023 0.787
Se4 0.761 0.023 0.787
Se5 0.761 0.521 0.787
Se6 0.239 0.479 0.213
Se7 0.239 0.977 0.213
Se8 0.738 0.977 0.213

***

Density functional theory data (PBE-GGA) for a relaxed Pd5PtSe12 crystal.

Calculated values
Formation energy without anion corrections = -279 meV/atom
DOS at the Fermi energy = 4.83 states/eV per cell
Calculated volume = 22.2 Å³/atom
SG = No. 12

Lattice parameters (Å, degrees): 6.533 6.543 10.998 95.71 101.50 60.05
Positions (direct):
Pd1 0.500 0.000 0.500
Pd2 0.167 0.667 0.500
Pd3 0.833 0.333 0.500
Pd4 0.667 0.667 0.000
Pd5 0.333 0.333 0.000
Pt1 0.000 0.000 0.000
Se1 0.794 0.000 0.379
Se2 0.206 0.000 0.621
Se3 0.627 0.000 0.879
Se4 0.373 0.000 0.121
Se5 0.292 0.668 0.879
Se6 0.040 0.668 0.121
Se7 0.960 0.332 0.879
Se8 0.708 0.332 0.121
Se9 0.540 0.333 0.621
Se10 0.873 0.667 0.621
Se11 0.127 0.333 0.379
Se12 0.460 0.667 0.379

***

Density functional theory data (PBE-GGA) for a relaxed PdPtSe2 crystal.

Calculated values
Formation energy without anion corrections = -152 meV/atom
DOS at the Fermi energy = 0.73 states/eV per cell
Calculated volume = 22.6 Å³/atom
SG = No. 166

Lattice parameters (Å, degrees): 7.791 7.791 7.791 27.72 27.72 27.72
Positions (direct):
Se1 0.893 0.893 0.893
Se2 0.107 0.107 0.107
Pd1 0.000 0.000 0.000
Pt1 0.500 0.500 0.500

***

Density functional theory data (PBE-GGA) for a relaxed Pd2PtSe crystal.

Calculated values
Formation energy without anion corrections = 21 meV/atom
DOS at the Fermi energy = 5.66 states/eV per cell
Calculated volume = 17.0 Å³/atom
SG = No. 122

Lattice parameters (Å, degrees): 7.206 7.206 5.731 51.05 51.05 90.00
Positions (direct):
Se1 0.500 0.500 0.000
Se2 0.250 0.750 0.500
Pd1 0.598 0.125 0.250
Pd2 0.152 0.625 0.250
Pd3 0.375 0.402 0.750
Pd4 0.875 0.848 0.750
Pt1 0.000 0.000 0.000
Pt2 0.750 0.250 0.500

***

Density functional theory data (PBE-GGA) for a relaxed PdPt2Se6 crystal.

Calculated values
Formation energy without anion corrections = -63 meV/atom
DOS at the Fermi energy = 27.26 states/eV per cell
Calculated volume = 22.4 Å³/atom
Energy above the most stable polymorph in this dataset = 287 meV per atom
SG = No. 136

Lattice parameters (Å, degrees): 5.790 5.790 12.050 90.00 90.00 90.00
Positions (direct):
Pd1 0.500 0.500 0.000
Pd2 0.000 0.000 0.500
Pt1 0.500 0.500 0.334
Pt2 0.500 0.500 0.666
Pt3 0.000 0.000 0.166
Pt4 0.000 0.000 0.834
Se1 0.690 0.690 0.167
Se2 0.690 0.690 0.833
Se3 0.690 0.690 0.500
Se4 0.810 0.190 0.000
Se5 0.810 0.190 0.333
Se6 0.810 0.190 0.667
Se7 0.190 0.810 0.333
Se8 0.190 0.810 0.667
Se9 0.190 0.810 0.000
Se10 0.310 0.310 0.500
Se11 0.310 0.310 0.167
Se12 0.310 0.310 0.833

***

Density functional theory data (PBE-GGA) for a relaxed PdPtSe2 crystal.

Calculated values
Formation energy without anion corrections = -63 meV/atom
DOS at the Fermi energy = 7.47 states/eV per cell
Calculated volume = 23.2 Å³/atom
SG = No. 122

Lattice parameters (Å, degrees): 5.727 5.727 6.954 65.68 65.68 90.00
Positions (direct):
Se1 0.630 0.125 0.250
Se2 0.120 0.625 0.250
Se3 0.375 0.370 0.750
Se4 0.875 0.880 0.750
Pd1 0.500 0.500 0.000
Pd2 0.250 0.750 0.500
Pt1 0.000 0.000 0.000
Pt2 0.750 0.250 0.500

***

Density functional theory data (PBE-GGA) for a relaxed PdPtSe2 crystal.

Calculated values
Formation energy without anion corrections = -205 meV/atom
DOS at the Fermi energy = 3.81 states/eV per cell
Calculated volume = 21.7 Å³/atom
SG = No. 71

Lattice parameters (Å, degrees): 4.102 3.857 6.173 71.79 70.59 90.00
Positions (direct):
Pd1 0.250 0.750 0.500
Pt1 0.750 0.250 0.500
Se1 0.897 0.897 0.207
Se2 0.603 0.603 0.793

***

Density functional theory data (PBE-GGA) for a relaxed PdPtSe4 crystal.

Calculated values
Formation energy without anion corrections = -330 meV/atom
DOS at the Fermi energy = 4.09 states/eV per cell
Calculated volume = 21.1 Å³/atom
SG = No. 12

Lattice parameters (Å, degrees): 3.801 6.587 10.110 89.88 90.00 90.00
Positions (direct):
Pd1 0.500 0.500 0.500
Pd2 0.000 0.000 0.000
Pt1 0.000 0.000 0.500
Pt2 0.500 0.500 0.000
Se1 0.500 0.166 0.374
Se2 0.000 0.334 0.126
Se3 0.500 0.834 0.626
Se4 0.000 0.666 0.874
Se5 0.000 0.669 0.371
Se6 0.500 0.831 0.129
Se7 0.000 0.331 0.629
Se8 0.500 0.169 0.871